Here is a relaxed FeMoOs2 crystal from Alexandria. Energies are from PBE-GGA.

- Symmetry: I-4m2 (119)
- DFT formation energy: 89.0 meV/atom
- Final energy: -10.3493 eV/atom
- Magnetic moment: 0.88 Bohr magnetons per cell

Cell lengths 4.6856, 4.6856, 4.6856 Å; angles 132.00, 132.00, 70.23 degrees
With the nearest neighbours (Å) after each atom.
Positions (direct):
1 Fe 0.0000 0.0000 0.0000  8 Os 2.70, 4 Mo 2.70
2 Mo 0.2500 0.7500 0.5000  8 Os 2.70, 4 Fe 2.70
3 Os 0.5000 0.5000 0.0000  4 Fe 2.70, 4 Mo 2.70, 4 Os 2.70
4 Os 0.7500 0.2500 0.5000  4 Mo 2.70, 4 Os 2.70, 4 Fe 2.70